Computed, not measured: Dy7CS5 after structural relaxation at the PBE-GGA level of DFT.

Lattice parameters (Å, degrees): 3.7414 6.6734 23.4374 89.99 90.00 106.30
Atoms (fractional coordinates):
Dy: 0.4453 0.8908 0.2499
Dy: 0.5554 0.1105 0.7499
Dy: 0.6472 0.2937 0.0374
Dy: 0.3691 0.7382 0.9613
Dy: 0.3533 0.7073 0.5374
Dy: 0.6315 0.2629 0.4614
Dy: 0.2062 0.4127 0.1780
Dy: 0.7969 0.5939 0.8166
Dy: 0.7942 0.5882 0.6780
Dy: 0.2038 0.4075 0.3167
Dy: 0.9281 0.8564 0.1037
Dy: 0.0956 0.1913 0.8797
Dy: 0.0724 0.1444 0.6037
Dy: 0.9051 0.8101 0.3797
C: 0.8244 0.6492 0.2843
C: 0.1763 0.3523 0.7842
S: 0.0111 0.0223 0.9954
S: 0.7280 0.4562 0.9262
S: 0.2862 0.5722 0.0698
S: 0.5517 0.1032 0.3525
S: 0.4366 0.8738 0.6451
S: 0.9895 0.9788 0.4954
S: 0.2726 0.5450 0.4262
S: 0.7143 0.4287 0.5699
S: 0.4490 0.8982 0.8524
S: 0.5638 0.1270 0.1451

Its symmetry is Cmc2_1 (36). Its uncorrected formation energy is -1513 meV per atom. Its total moment is 0.00 μB/atom.